{
  "formula": "TiOs5",
  "functional": "PBE-GGA",
  "state": "optimized geometry",
  "cell": [[-0.955, -2.412, 1.313], [1.846, -2.430, -3.122], [4.927, 0.911, 5.257]],
  "species": ["Os", "Os", "Os", "Os", "Ti", "Os"],
  "frac_coords": [[0.500, 0.500, 0.000], [0.000, 0.687, 0.374], [0.000, 0.313, 0.626], [0.500, 0.148, 0.295], [0.000, 0.000, 0.000], [0.500, 0.852, 0.705]],
  "total_energy_ev_per_atom": -10.541,
  "magnetic_moment_mub_per_atom": 0.00
}